[1]
DFT (PBE) results for a geometry-optimized ZrMoH2Au structure.

The structure belongs to space group P4/mmm (No. 123); the cell edges are 3.824, 3.824 and 5.498 Å and the angles 90.00°, 90.00° and 90.00°. The inequivalent atoms are Zr at (0.000, 0.000, 0.000), Mo at (0.500, 0.500, 0.500), H at (0.000, 0.500, 0.000) and Au at (0.000, 0.000, 0.500).

The value obtained for the total magnetic moment is 2.5 μB per formula unit. The calculated volume comes out at 80.4 Å³/cell. The value obtained for the total energy is -5.286 eV/atom.

***

[2]
DFT (PBE) results for a geometry-optimized LiCr2Mo structure.

The structure belongs to space group Cmm2 (No. 35); the cell edges are 2.957, 4.215 and 8.747 Å and the angles 90.00°, 90.00° and 90.00°. The inequivalent atoms are Li at (0.000, 0.000, 0.000), Cr at (0.000, 0.000, 0.472), Cr at (0.000, 0.500, 0.263) and Mo at (0.000, 0.500, 0.720).

The value obtained for the total magnetic moment is 0.0 μB per formula unit. The calculated volume comes out at 109.0 Å³/cell. For the energy relative to the elements, the calculation gives 1.18 eV/f.u. The excess energy over the best structure of this formula in the dataset comes out at 0.0 meV per atom. The value obtained for the total energy is -7.703 eV/atom.

***

[3]
DFT (PBE) results for a geometry-optimized Pm4Y15Mg structure.

The structure belongs to space group P4/mmm (No. 123); the cell edges are 5.056, 5.056 and 25.319 Å and the angles 90.00°, 90.00° and 90.00°. The inequivalent atoms are Pm at (0.000, 0.000, 0.101), Pm at (0.000, 0.000, 0.302), Y at (0.000, 0.500, 0.000), Y at (0.000, 0.500, 0.202), Y at (0.000, 0.500, 0.403), Y at (0.500, 0.500, 0.101), Y at (0.500, 0.500, 0.305), Y at (0.500, 0.500, 0.500) and Mg at (0.000, 0.000, 0.500).

The value obtained for the total magnetic moment is 0.0 μB per formula unit. The calculated volume comes out at 647.2 Å³/cell. For the energy relative to the elements, the calculation gives 0.43 eV/f.u. The value obtained for the total energy is -5.856 eV/atom.

***

[4]
DFT (PBE) results for a geometry-optimized Tb6Nd5Sm2 structure.

The structure belongs to space group Pbam (No. 55); the cell edges are 11.779, 20.686 and 3.626 Å and the angles 90.00°, 90.00° and 90.00°. The inequivalent atoms are Tb at (0.061, 0.079, 0.000), Tb at (0.079, 0.367, 0.000), Tb at (0.177, 0.634, 0.500), Nd at (0.000, 0.500, 0.500), Nd at (0.085, 0.225, 0.500), Nd at (0.200, 0.949, 0.500) and Sm at (0.172, 0.787, 0.000).

The value obtained for the total magnetic moment is 0.0 μB per formula unit. The calculated volume comes out at 883.5 Å³/cell. For the energy relative to the elements, the calculation gives 1.19 eV/f.u. The value obtained for the total energy is -4.605 eV/atom.

***

[5]
DFT (PBE) results for a geometry-optimized IrC2F2 structure.

The structure belongs to space group P4/mbm (No. 127); the cell edges are 5.617, 5.617 and 3.879 Å and the angles 90.00°, 90.00° and 90.00°. The inequivalent atoms are Ir at (0.000, 0.000, 0.000), C at (0.239, 0.261, 0.000) and F at (0.178, 0.322, 0.500).

The value obtained for the total magnetic moment is 1.0 μB per formula unit. The calculated volume comes out at 122.4 Å³/cell. Its raw formation energy is 4.3 eV/f.u. The excess energy over the best structure of this formula in the dataset comes out at 0.0 meV per atom. The value obtained for the total energy is -5.346 eV/atom.

***

[6]
DFT (PBE) results for a geometry-optimized Be2MoIr3 structure.

The structure belongs to space group P4/mmm (No. 123); the cell edges are 2.822, 2.822 and 9.354 Å and the angles 90.00°, 90.00° and 90.00°. The inequivalent atoms are Be at (0.000, 0.000, 0.146), Mo at (0.000, 0.000, 0.500), Ir at (0.500, 0.500, 0.000) and Ir at (0.500, 0.500, 0.301).

The value obtained for the total magnetic moment is 0.0 μB per formula unit. The calculated volume comes out at 74.5 Å³/cell. For the energy relative to the elements, the calculation gives -2.87 eV/f.u. The value obtained for the total energy is -7.956 eV/atom.

***

[7]
DFT (PBE) results for a geometry-optimized Pm2TcH5 structure.

The structure belongs to space group I4mm (No. 107); the cell edges are 5.111, 5.111 and 7.365 Å and the angles 90.00°, 90.00° and 90.00°. The inequivalent atoms are Pm at (0.000, 0.500, 0.000), Tc at (0.000, 0.000, 0.246), H at (0.000, 0.000, 0.002) and H at (0.248, 0.248, 0.251).

The value obtained for the total magnetic moment is 0.0 μB per formula unit. The calculated volume comes out at 192.4 Å³/cell. The value obtained for the total energy is -5.079 eV/atom.

***

[8]
DFT (PBE) results for a geometry-optimized Tb2Pd3Au2 structure.

The structure belongs to space group C2/m (No. 12); the cell edges are 9.805, 4.106 and 8.337 Å and the angles 90.00°, 119.90° and 90.00°. The inequivalent atoms are Tb at (0.201, 0.000, 0.275), Pd at (0.000, 0.500, 0.000), Pd at (0.032, 0.500, 0.357) and Au at (0.154, 0.000, 0.879).

The value obtained for the total magnetic moment is 0.0 μB per formula unit. The calculated volume comes out at 291.0 Å³/cell. For the energy relative to the elements, the calculation gives -4.79 eV/f.u. The excess energy over the best structure of this formula in the dataset comes out at 0.0 meV per atom. The value obtained for the total energy is -5.169 eV/atom.

***

[9]
DFT (PBE) results for a geometry-optimized Cu2TcAs structure.

The structure belongs to space group Immm (No. 71); the cell edges are 2.913, 4.141 and 9.067 Å and the angles 90.00°, 90.00° and 90.00°. The inequivalent atoms are Cu at (0.000, 0.000, 0.237), Tc at (0.000, 0.500, 0.000) and As at (0.000, 0.500, 0.500).

The value obtained for the total magnetic moment is 0.0 μB per formula unit. The calculated volume comes out at 109.4 Å³/cell. For the energy relative to the elements, the calculation gives 0.64 eV/f.u. The value obtained for the total energy is -5.642 eV/atom.

***

[10]
DFT (PBE) results for a geometry-optimized Na8Tl2Pb structure.

The structure belongs to space group C2/m (No. 12); the cell edges are 8.999, 15.114 and 5.749 Å and the angles 90.00°, 114.68° and 90.00°. The inequivalent atoms are Na at (0.000, 0.215, 0.000), Na at (0.117, 0.500, 0.810), Na at (0.197, 0.113, 0.617), Tl at (0.000, 0.314, 0.500) and Pb at (0.000, 0.000, 0.000).

The value obtained for the total magnetic moment is 0.0 μB per formula unit. The calculated volume comes out at 710.5 Å³/cell. For the energy relative to the elements, the calculation gives -0.43 eV/f.u. The excess energy over the best structure of this formula in the dataset comes out at 44.9 meV per atom. The value obtained for the total energy is -1.766 eV/atom.

***

[11]
DFT (PBE) results for a geometry-optimized YZrC2 structure.

The structure belongs to space group Fm-3m (No. 225); the cell edges are 6.036, 6.036 and 6.036 Å and the angles 90.00°, 90.00° and 90.00°. The inequivalent atoms are Y at (0.000, 0.000, 0.000), Zr at (0.000, 0.000, 0.500) and C at (0.250, 0.250, 0.250).

The value obtained for the total magnetic moment is 0.0 μB per formula unit. The calculated volume comes out at 219.9 Å³/cell. For the energy relative to the elements, the calculation gives 2.29 eV/f.u. The excess energy over the best structure of this formula in the dataset comes out at 961.2 meV per atom. The value obtained for the total energy is -7.792 eV/atom.

***

[12]
DFT (PBE) results for a geometry-optimized Pr2In3Cu structure.

The structure belongs to space group Pmm2 (No. 25); the cell edges are 3.841, 4.838 and 8.425 Å and the angles 90.00°, 90.00° and 90.00°. The inequivalent atoms are Pr at (0.000, 0.000, 0.000), Pr at (0.000, 0.500, 0.481), In at (0.500, 0.000, 0.636), In at (0.500, 0.500, 0.170), In at (0.500, 0.500, 0.825) and Cu at (0.500, 0.000, 0.316).

The value obtained for the total magnetic moment is 0.0 μB per formula unit. The calculated volume comes out at 156.6 Å³/cell. For the energy relative to the elements, the calculation gives -2.49 eV/f.u. The excess energy over the best structure of this formula in the dataset comes out at 12.7 meV per atom. The value obtained for the total energy is -4.060 eV/atom.

***

Number 8 is which compound?
Tb2Pd3Au2